[1]
DFT (PBE-GGA) results for a geometry-optimized LaBe4Ge3O12 structure.

Values from the calculation:
- final energy (eV/atom) = -6.81
- space group = R32 (155)
- Fermi-level density of states (states/eV/cell) = 11.42
- M_tot (μB per atom) = 0.05
- crystal system = trigonal

Cell: 6.1998 6.1998 6.1998 Å, 105.64 105.64 105.64°
Closest atoms and distances in Å follow each position.
Fractional positions:
La 0.0000 0.0000 0.0000  6 O 2.45
Be 0.9329 0.0671 0.5000  3 O 1.53-1.57
Be 0.0671 0.5000 0.9329  3 O 1.53-1.57
Be 0.5000 0.9329 0.0671  3 O 1.53-1.57
Be 0.5000 0.5000 0.5000  3 O 1.57
Ge 0.5621 0.4379 0.0000  6 O 1.86-1.97
Ge 0.4379 0.0000 0.5621  6 O 1.86-1.97
Ge 0.0000 0.5621 0.4379  6 O 1.86-1.97
O 0.5000 0.3413 0.6587  1 Be 1.57
O 0.9087 0.5000 0.0913  1 Be 1.57
O 0.0913 0.9087 0.5000  1 Be 1.57
O 0.5000 0.0913 0.9087  1 Be 1.57
O 0.3654 0.9673 0.2406  1 Be 1.53
O 0.2406 0.3654 0.9673  1 Be 1.53
O 0.9673 0.2406 0.3654  1 Be 1.53
O 0.6346 0.7594 0.0327  1 Be 1.53
O 0.0327 0.6346 0.7594  1 Be 1.53
O 0.7594 0.0327 0.6346  1 Be 1.53
O 0.6587 0.5000 0.3413  1 Be 1.57
O 0.3413 0.6587 0.5000  1 Be 1.57

[2]
DFT (PBE-GGA) results for a geometry-optimized La3Be2GePd9 structure.

Values from the calculation:
- space group = P-3m1 (164)
- Fermi-level density of states (states/eV/cell) = 7.91
- M_tot (μB per atom) = 0.00
- crystal system = trigonal
- calculated formation energy (eV/f.u.) = -10.315

Cell: 5.9608 5.9608 9.1729 Å, 90.00 90.00 120.00°
Closest atoms and distances in Å follow each position.
Fractional positions:
La 0.3333 0.6667 0.6471  6 Pd 3.03
La 0.0000 0.0000 0.0000  12 Pd 2.98-3.21
La 0.6667 0.3333 0.3529  6 Pd 3.03
Be 0.3333 0.6667 0.1503  6 Pd 2.19-2.20
Be 0.6667 0.3333 0.8497  6 Pd 2.19-2.20
Ge 0.0000 0.0000 0.5000  6 Pd 2.53
Pd 0.8350 0.1650 0.7036  1 Be 2.19
Pd 0.8350 0.6700 0.7036  1 Be 2.19
Pd 0.3300 0.1650 0.7036  1 Be 2.19
Pd 0.6700 0.8350 0.2964  1 Be 2.19
Pd 0.1650 0.3300 0.2964  1 Be 2.19
Pd 0.1650 0.8350 0.2964  1 Be 2.19
Pd 0.5000 0.0000 0.0000  2 Be 2.20
Pd 0.0000 0.5000 0.0000  2 Be 2.20
Pd 0.5000 0.5000 0.0000  2 Be 2.20

[3]
DFT (PBE-GGA) results for a geometry-optimized La2Be3Ge4Pd structure.

Values from the calculation:
- space group = P-4m2 (115)
- Fermi-level density of states (states/eV/cell) = 3.22
- M_tot (μB per atom) = 0.00
- crystal system = tetragonal
- calculated formation energy (eV/f.u.) = -5.181

Cell: 4.1992 4.1992 10.0185 Å, 90.00 90.00 90.00°
Closest atoms and distances in Å follow each position.
Fractional positions:
La 0.5000 0.0000 0.2490  8 Ge 3.17-3.26, 6 Be 3.21-3.28, 2 Pd 3.28
La 0.0000 0.5000 0.7510  8 Ge 3.17-3.26, 6 Be 3.21-3.28, 2 Pd 3.28
Be 0.0000 0.0000 0.5000  4 Ge 2.52
Be 0.5000 0.0000 0.8726  5 Ge 2.34-2.46
Be 0.0000 0.5000 0.1274  5 Ge 2.34-2.46
Ge 0.5000 0.5000 0.0000  4 Be 2.46
Ge 0.0000 0.0000 0.0000  4 Be 2.46
Ge 0.5000 0.0000 0.6391  3 Be 2.34-2.52, 2 Pd 2.52
Ge 0.0000 0.5000 0.3609  3 Be 2.34-2.52, 2 Pd 2.52
Pd 0.5000 0.5000 0.5000  4 Ge 2.52

[4]
DFT (PBE-GGA) results for a geometry-optimized LaBeGe2Pd structure.

Values from the calculation:
- space group = I-4m2 (119)
- Fermi-level density of states (states/eV/cell) = 1.09
- M_tot (μB per atom) = 0.00
- crystal system = tetragonal
- calculated formation energy (eV/f.u.) = -3.233

Cell: 4.1937 4.1937 6.0367 Å, 110.33 110.33 90.00°
Closest atoms and distances in Å follow each position.
Fractional positions:
La 0.0000 0.0000 0.0000  8 Ge 3.23, 4 Be 3.36, 4 Pd 3.36
Be 0.7500 0.2500 0.5000  4 Ge 2.49
Ge 0.6228 0.6228 0.2457  2 Pd 2.49, 2 Be 2.49, 1 Ge 2.58
Ge 0.3772 0.3772 0.7543  2 Be 2.49, 2 Pd 2.49, 1 Ge 2.58
Pd 0.2500 0.7500 0.5000  4 Ge 2.49

[5]
DFT (PBE-GGA) results for a geometry-optimized La2BeGePd6 structure.

Values from the calculation:
- space group = P-1 (2)
- Fermi-level density of states (states/eV/cell) = 4.30
- M_tot (μB per atom) = 0.00
- crystal system = triclinic
- calculated formation energy (eV/f.u.) = -6.998

Cell: 5.9671 7.1042 5.8599 Å, 65.85 60.45 88.94°
Closest atoms and distances in Å follow each position.
Fractional positions:
La 0.7406 0.1933 0.5321  6 Pd 3.01-3.08
La 0.2594 0.8067 0.4679  6 Pd 3.01-3.08
Be 0.5000 0.5000 0.0000  6 Pd 2.17
Ge 0.0000 0.0000 0.0000  6 Pd 2.53-2.54
Pd 0.2731 0.2924 0.4726  1 Be 2.17
Pd 0.7271 0.7042 0.0428  1 Be 2.17
Pd 0.1898 0.6741 0.0698  1 Be 2.17
Pd 0.8102 0.3259 0.9302  1 Be 2.17
Pd 0.2729 0.2958 0.9572  1 Be 2.17
Pd 0.7269 0.7076 0.5274  1 Be 2.17

[6]
DFT (PBE-GGA) results for a geometry-optimized La2Be3Ge4Pt structure.

Values from the calculation:
- space group = P-4m2 (115)
- Fermi-level density of states (states/eV/cell) = 3.07
- M_tot (μB per atom) = 0.00
- crystal system = tetragonal
- calculated formation energy (eV/f.u.) = -5.394

Cell: 4.1982 4.1982 10.0289 Å, 90.00 90.00 90.00°
Closest atoms and distances in Å follow each position.
Fractional positions:
La 0.5000 0.0000 0.2490  8 Ge 3.17-3.26, 6 Be 3.21-3.28, 2 Pt 3.28
La 0.0000 0.5000 0.7510  8 Ge 3.17-3.26, 6 Be 3.21-3.28, 2 Pt 3.28
Be 0.0000 0.0000 0.5000  4 Ge 2.52
Be 0.5000 0.0000 0.8735  5 Ge 2.35-2.45
Be 0.0000 0.5000 0.1265  5 Ge 2.35-2.45
Ge 0.5000 0.5000 0.0000  4 Be 2.45
Ge 0.0000 0.0000 0.0000  4 Be 2.45
Ge 0.5000 0.0000 0.6395  3 Be 2.35-2.52, 2 Pt 2.52
Ge 0.0000 0.5000 0.3605  3 Be 2.35-2.52, 2 Pt 2.52
Pt 0.5000 0.5000 0.5000  4 Ge 2.52

[7]
DFT (PBE-GGA) results for a geometry-optimized La2BeGe4Pt3 structure.

Values from the calculation:
- space group = P-4m2 (115)
- Fermi-level density of states (states/eV/cell) = 4.16
- M_tot (μB per atom) = 0.00
- crystal system = tetragonal
- calculated formation energy (eV/f.u.) = -8.489

Cell: 4.3568 4.3568 10.1808 Å, 90.00 90.00 90.00°
Closest atoms and distances in Å follow each position.
Fractional positions:
La 0.5000 0.0000 0.2543  8 Ge 3.31-3.38, 2 Be 3.32, 6 Pt 3.32-3.34
La 0.0000 0.5000 0.7457  8 Ge 3.31-3.38, 2 Be 3.32, 6 Pt 3.32-3.34
Be 0.5000 0.5000 0.5000  4 Ge 2.53
Ge 0.5000 0.5000 0.0000  4 Pt 2.53
Ge 0.0000 0.0000 0.0000  4 Pt 2.53
Ge 0.5000 0.0000 0.6261  3 Pt 2.52-2.53, 2 Be 2.53
Ge 0.0000 0.5000 0.3739  3 Pt 2.52-2.53, 2 Be 2.53
Pt 0.0000 0.0000 0.5000  4 Ge 2.53
Pt 0.5000 0.0000 0.8733  5 Ge 2.52-2.53
Pt 0.0000 0.5000 0.1267  5 Ge 2.52-2.53

[8]
DFT (PBE-GGA) results for a geometry-optimized La2Be3GePt4 structure.

Values from the calculation:
- space group = P-4m2 (115)
- Fermi-level density of states (states/eV/cell) = 6.38
- M_tot (μB per atom) = 0.00
- crystal system = tetragonal
- calculated formation energy (eV/f.u.) = -8.746

Cell: 4.2062 4.2062 9.7913 Å, 90.00 90.00 90.00°
Closest atoms and distances in Å follow each position.
Fractional positions:
La 0.5000 0.0000 0.2479  8 Pt 3.18-3.21, 2 Ge 3.24, 7 Be 3.24-3.56
La 0.0000 0.5000 0.7521  8 Pt 3.18-3.21, 2 Ge 3.24, 7 Be 3.24-3.56
Be 0.0000 0.0000 0.5000  4 Pt 2.50
Be 0.5000 0.0000 0.8848  5 Pt 2.39-2.42
Be 0.0000 0.5000 0.1152  5 Pt 2.39-2.42
Ge 0.5000 0.5000 0.5000  4 Pt 2.50
Pt 0.5000 0.5000 0.0000  4 Be 2.39
Pt 0.0000 0.0000 0.0000  4 Be 2.39
Pt 0.5000 0.0000 0.6377  3 Be 2.42-2.50, 2 Ge 2.50
Pt 0.0000 0.5000 0.3623  3 Be 2.42-2.50, 2 Ge 2.50

[9]
DFT (PBE-GGA) results for a geometry-optimized La2Be4Ge3Pt structure.

Values from the calculation:
- space group = P-4m2 (115)
- Fermi-level density of states (states/eV/cell) = 3.76
- M_tot (μB per atom) = 0.00
- crystal system = tetragonal
- calculated formation energy (eV/f.u.) = -5.470

Cell: 4.0929 4.0929 9.9322 Å, 90.00 90.00 90.00°
Closest atoms and distances in Å follow each position.
Fractional positions:
La 0.5000 0.0000 0.2457  6 Ge 3.12-3.25, 8 Be 3.17-3.18, 2 Pt 3.25
La 0.0000 0.5000 0.7543  6 Ge 3.12-3.25, 8 Be 3.17-3.18, 2 Pt 3.25
Be 0.5000 0.5000 0.0000  4 Ge 2.41
Be 0.0000 0.0000 0.0000  4 Ge 2.41
Be 0.5000 0.0000 0.6249  3 Ge 2.39-2.44, 2 Pt 2.39
Be 0.0000 0.5000 0.3751  3 Ge 2.39-2.44, 2 Pt 2.39
Ge 0.0000 0.0000 0.5000  4 Be 2.39
Ge 0.5000 0.0000 0.8710  5 Be 2.41-2.44
Ge 0.0000 0.5000 0.1290  5 Be 2.41-2.44
Pt 0.5000 0.5000 0.5000  4 Be 2.39

[10]
DFT (PBE-GGA) results for a geometry-optimized La2BeGeRh6 structure.

Values from the calculation:
- space group = Fm-3m (225)
- Fermi-level density of states (states/eV/cell) = 10.55
- M_tot (μB per atom) = 0.00
- crystal system = cubic
- calculated formation energy (eV/f.u.) = -5.175

Cell: 6.3296 6.3293 6.3287 Å, 60.02 60.02 90.00°
Closest atoms and distances in Å follow each position.
Fractional positions:
La 0.7499 0.2500 0.5001  12 Rh 3.17
La 0.2501 0.7500 0.4999  12 Rh 3.17
Be 0.5000 0.5000 0.0000  6 Rh 2.12
Ge 0.0000 0.0000 0.0000  6 Rh 2.35
Rh 0.2626 0.2625 0.4745  1 Be 2.12, 1 Ge 2.35
Rh 0.7374 0.7373 0.9997  1 Be 2.12, 1 Ge 2.35
Rh 0.2628 0.7373 0.0000  1 Be 2.12, 1 Ge 2.35
Rh 0.7372 0.2627 0.0000  1 Be 2.12, 1 Ge 2.35
Rh 0.2626 0.2627 0.0003  1 Be 2.12, 1 Ge 2.35
Rh 0.7374 0.7375 0.5255  1 Be 2.12, 1 Ge 2.35

[11]
DFT (PBE-GGA) results for a geometry-optimized LaBeGe2Rh structure.

Values from the calculation:
- space group = I-4m2 (119)
- Fermi-level density of states (states/eV/cell) = 3.73
- M_tot (μB per atom) = 0.00
- crystal system = tetragonal
- calculated formation energy (eV/f.u.) = -3.154

Cell: 4.1373 4.1373 6.0676 Å, 109.93 109.93 90.00°
Closest atoms and distances in Å follow each position.
Fractional positions:
La 0.0000 0.0000 0.0000  8 Ge 3.21, 4 Be 3.37, 4 Rh 3.37
Be 0.2500 0.7500 0.5000  4 Ge 2.46
Ge 0.6252 0.6252 0.2504  2 Rh 2.46, 2 Be 2.46, 1 Ge 2.66
Ge 0.3748 0.3748 0.7496  2 Be 2.46, 2 Rh 2.46, 1 Ge 2.66
Rh 0.7500 0.2500 0.5000  4 Ge 2.46